MnCuRe (GGA-PBE, optimized geometry); total magnetization = 1.1 Bohr magnetons per cell; ρ = 13.2 g cm⁻³; offset from the most stable computed form = 0.0095 eV/atom; symmetry = Imm2 (44); Fermi-level density of states = 0.66 states/eV/atom; volume = 38.46 Å³/cell; formation energy = 196 meV/atom
1.0
-1.297 1.916 3.870
1.297 -1.916 3.870
1.297 1.916 -3.870
Mn Cu Re
1 1 1
Direct
0.000 0.000 0.000
0.335 0.335 0.000
0.668 0.668 0.000